First-principles (PBE) data for a geometry-optimized Pr8GeTe4S3 structure, as listed in the Alexandria database.

Unit cell a=8.574 b=8.853 c=8.575 alpha=118.97 beta=120.00 gamma=90.00
Positions (direct):
Pr 0.239 0.715 0.975
Pr 0.239 0.715 0.479
Pr 0.264 0.291 0.527
Pr 0.736 0.715 0.975
Pr 0.264 0.285 0.025
Pr 0.736 0.709 0.473
Pr 0.761 0.285 0.521
Pr 0.761 0.285 0.025
Ge 0.000 0.500 0.000
Te 0.500 0.000 0.000
Te 0.500 0.000 0.500
Te 0.000 0.000 0.000
Te 0.000 0.000 0.500
S 0.500 0.500 0.000
S 0.500 0.500 0.500
S 0.000 0.500 0.500

Calculated values
Total magnetic moment   0.00 μB/cell
Energy relative to the elements, uncorrected   -1626.3 meV/atom
SG   R-3m (166)